1.
DFT (PBE-GGA) results for a relaxed structure of FeOsSe2.

The space group is C2/m (No. 12) and the conventional cell measures 5.465, 7.921 and 4.125 Å, with angles of 90.00, 130.83 and 90.00 degrees. The distinct sites, in fractional coordinates, are Fe at (0.000, 0.000, 0.000), Os at (0.000, 0.500, 0.000) and Se at (0.250, 0.250, 0.500).

Its crystal system is monoclinic. The uncorrected formation energy is 0.715 eV/atom. The value obtained for the energy above the lowest structure with this stoichiometry is 2.92 eV/f.u.


2.
DFT (PBE-GGA) results for a relaxed structure of Dy6Ho4Mg.

The space group is I-42m (No. 121) and the conventional cell measures 6.452, 6.452 and 16.977 Å, with angles of 90.00, 90.00 and 90.00 degrees. The distinct sites, in fractional coordinates, are Dy at (0.000, 0.500, 0.000), Dy at (0.175, 0.175, 0.365), Ho at (0.183, 0.183, 0.170) and Mg at (0.000, 0.000, 0.000).

The formation energy from the elements comes out at 27.1 kJ per mole of atoms. Its crystal system is tetragonal.


3.
DFT (PBE-GGA) results for a relaxed structure of NiMoN2.

The space group is Fm-3m (No. 225) and the conventional cell measures 5.236, 5.236 and 5.236 Å, with angles of 90.00, 90.00 and 90.00 degrees. The distinct sites, in fractional coordinates, are Ni at (0.000, 0.000, 0.000), Mo at (0.000, 0.000, 0.500) and N at (0.250, 0.250, 0.250).

Its crystal system is cubic. The uncorrected formation energy is 0.605 eV/atom.


4.
DFT (PBE-GGA) results for a relaxed structure of Zn2CdSeF.

The space group is P4/mmm (No. 123) and the conventional cell measures 4.144, 4.144 and 6.426 Å, with angles of 90.00, 90.00 and 90.00 degrees. The distinct sites, in fractional coordinates, are Zn at (0.000, 0.500, 0.000), Cd at (0.000, 0.000, 0.500), Se at (0.500, 0.500, 0.500) and F at (0.500, 0.500, 0.000).

Its crystal system is tetragonal. The uncorrected formation energy is -0.248 eV/atom.


5.
DFT (PBE-GGA) results for a relaxed structure of InAsIO2.

The space group is P4/mmm (No. 123) and the conventional cell measures 4.155, 4.155 and 6.295 Å, with angles of 90.00, 90.00 and 90.00 degrees. The distinct sites, in fractional coordinates, are In at (0.000, 0.000, 0.000), As at (0.500, 0.500, 0.500), I at (0.000, 0.000, 0.500) and O at (0.000, 0.500, 0.000).

Its crystal system is tetragonal. The uncorrected formation energy is 0.038 eV/atom. The value obtained for the energy above the lowest structure with this stoichiometry is 0.80 eV/f.u.


6.
DFT (PBE-GGA) results for a relaxed structure of AcHoNi10.

The space group is Pmmm (No. 47) and the conventional cell measures 3.972, 4.971 and 8.647 Å, with angles of 90.00, 90.00 and 90.00 degrees. The distinct sites, in fractional coordinates, are Ac at (0.000, 0.000, 0.000), Ho at (0.000, 0.500, 0.500), Ni at (0.000, 0.000, 0.342), Ni at (0.000, 0.500, 0.178), Ni at (0.500, 0.000, 0.500), Ni at (0.500, 0.254, 0.260) and Ni at (0.500, 0.500, 0.000).

The formation energy from the elements comes out at -25.8 kJ per mole of atoms. Its crystal system is orthorhombic.


7.
DFT (PBE-GGA) results for a relaxed structure of Tl2NiSb.

The space group is P4/mmm (No. 123) and the conventional cell measures 4.298, 4.298 and 5.258 Å, with angles of 90.00, 90.00 and 90.00 degrees. The distinct sites, in fractional coordinates, are Tl at (0.000, 0.500, 0.000), Ni at (0.000, 0.000, 0.500) and Sb at (0.500, 0.500, 0.500).

Its crystal system is tetragonal. The uncorrected formation energy is 0.414 eV/atom. The value obtained for the energy above the lowest structure with this stoichiometry is 1.60 eV/f.u.


8.
DFT (PBE-GGA) results for a relaxed structure of NaSr4Ta3O12.

The space group is Im-3m (No. 229) and the conventional cell measures 8.208, 8.208 and 8.208 Å, with angles of 90.00, 90.00 and 90.00 degrees. The distinct sites, in fractional coordinates, are Na at (0.000, 0.000, 0.000), Sr at (0.250, 0.250, 0.250), Ta at (0.000, 0.000, 0.500), O at (0.000, 0.000, 0.267) and O at (0.000, 0.250, 0.500).

Its crystal system is cubic. The uncorrected formation energy is -2.863 eV/atom.


9.
DFT (PBE-GGA) results for a relaxed structure of NaLaRe2Hg.

The space group is P4/mmm (No. 123) and the conventional cell measures 5.082, 5.082 and 5.632 Å, with angles of 90.00, 90.00 and 90.00 degrees. The distinct sites, in fractional coordinates, are Na at (0.000, 0.000, 0.000), La at (0.500, 0.500, 0.000), Re at (0.000, 0.500, 0.500) and Hg at (0.500, 0.500, 0.500).

The formation energy from the elements comes out at 195.9 kJ per mole of atoms. Its crystal system is tetragonal.


10.
DFT (PBE-GGA) results for a relaxed structure of ReGeAu2N.

The space group is P4/mmm (No. 123) and the conventional cell measures 5.098, 5.098 and 4.832 Å, with angles of 90.00, 90.00 and 90.00 degrees. The distinct sites, in fractional coordinates, are Re at (0.000, 0.000, 0.000), Ge at (0.000, 0.000, 0.500), Au at (0.000, 0.500, 0.000) and N at (0.500, 0.500, 0.500).

Its crystal system is tetragonal. The uncorrected formation energy is 1.922 eV/atom.


11.
DFT (PBE-GGA) results for a relaxed structure of NaGe3Pt.

The space group is Cm (No. 8) and the conventional cell measures 6.237, 6.252 and 6.098 Å, with angles of 90.00, 120.51 and 90.00 degrees. The distinct sites, in fractional coordinates, are Na at (0.000, 0.000, 0.000), Ge at (0.009, 0.248, 0.516), Ge at (0.107, 0.500, 0.217) and Pt at (0.377, 0.000, 0.751).

The formation energy from the elements comes out at -28.2 kJ per mole of atoms. Its crystal system is monoclinic. The value obtained for the energy above the lowest structure with this stoichiometry is 0.00 eV/f.u.


12.
DFT (PBE-GGA) results for a relaxed structure of SiAsOs2.

The space group is P2/m (No. 10) and the conventional cell measures 2.946, 4.003 and 5.074 Å, with angles of 90.00, 90.34 and 90.00 degrees. The distinct sites, in fractional coordinates, are Si at (0.000, 0.000, 0.000), As at (0.500, 0.000, 0.500) and Os at (0.234, 0.500, 0.759).

Its crystal system is monoclinic. The uncorrected formation energy is 0.466 eV/atom. The value obtained for the energy above the lowest structure with this stoichiometry is 1.71 eV/f.u.